[1]
A PBEsol-optimized structure of MgMo2Cl. Source: the Alexandria database, functional SCAN.

Computed properties:
Raw formation energy ... -0.020 eV per atom
Energy ... -20.70 eV/atom

Geometry as CIF:
```
data_MgMo2Cl
_chemical_formula_sum 'Mg2 Mo4 Cl2'
_space_group_name_H-M_alt 'C m m 2'
_space_group_IT_number 35
_space_group_name_Hall 'C 2 -2'
_cell_length_a 3.2052
_cell_length_b 4.9966
_cell_length_c 8.5730
_cell_angle_alpha 90.00
_cell_angle_beta 90.00
_cell_angle_gamma 90.00
loop_
_atom_site_label
_atom_site_fract_x
_atom_site_fract_y
_atom_site_fract_z
_atom_site_occupancy
Mg1 0.0000 0.0000 0.0000 1
Mo1 0.0000 0.0000 0.5103 1
Mo2 0.0000 0.5000 0.7253 1
Cl1 0.0000 0.5000 0.2175 1
```

[2]
A PBEsol-optimized structure of BeNiAs2. Source: the Alexandria database, functional SCAN.

Computed properties:
Formation energy from the elements ... 1.2 eV per formula unit
Energy ... -14.94 eV/atom

Geometry as CIF:
```
data_BeNiAs2
_chemical_formula_sum 'Be2 Ni2 As4'
_space_group_name_H-M_alt 'I -4 m 2'
_space_group_IT_number 119
_space_group_name_Hall 'I -4 -2'
_cell_length_a 3.5121
_cell_length_b 3.5121
_cell_length_c 8.8457
_cell_angle_alpha 90.00
_cell_angle_beta 90.00
_cell_angle_gamma 90.00
loop_
_atom_site_label
_atom_site_fract_x
_atom_site_fract_y
_atom_site_fract_z
_atom_site_occupancy
Be1 0.0000 0.0000 0.0000 1
Ni1 0.0000 0.5000 0.2500 1
As1 0.0000 0.0000 0.5000 1
As2 0.0000 0.5000 0.7500 1
```